1.
Below is crystalline AlCdCu2S4 at its relaxed geometry, with properties calculated at the PBE level.

Cell and atoms, written as POSCAR:
```
AlCdCu2S4
1.0
-5.007 1.326 1.800
-0.501 -4.968 2.267
4.890 3.689 2.533
S Cd Cu Al
4 1 2 1
Direct
0.138 0.138 0.734
0.404 0.862 0.266
0.596 0.596 0.734
0.862 0.404 0.266
0.000 0.000 0.000
0.750 0.250 0.500
0.250 0.750 0.500
0.500 0.500 0.000
```

## Properties
Raw formation energy   -57.3 kJ/mol of atoms
Symmetry   No. 121

---

2.
Below is crystalline AlCdCu2Sb at its relaxed geometry, with properties calculated at the PBE level.

Cell and atoms, written as POSCAR:
```
AlCdCu2Sb
1.0
-1.710 0.561 4.442
2.647 -3.709 1.487
4.463 3.687 1.253
Al Cu Sb Cd
1 2 1 1
Direct
0.500 0.500 0.500
0.000 0.500 0.000
0.500 0.000 0.000
0.000 0.000 0.000
0.000 0.000 0.500
```

## Properties
Raw formation energy   64.7 kJ/mol of atoms
Symmetry   No. 123

---

3.
Below is crystalline Sc2AlCdCu at its relaxed geometry, with properties calculated at the PBE level.

Cell and atoms, written as POSCAR:
```
Sc2AlCdCu
1.0
5.308 0.000 0.000
0.000 4.733 0.000
0.000 0.000 5.308
Sc Cu Cd Al
2 1 1 1
Direct
0.500 0.000 0.000
0.000 0.000 0.500
0.500 0.500 0.500
0.000 0.000 0.000
0.000 0.500 0.000
```

## Properties
Formation energy   760 meV/atom
Symmetry   No. 123

---

4.
Below is crystalline AlCdCu2Se4 at its relaxed geometry, with properties calculated at the PBE level.

Cell and atoms, written as POSCAR:
```
AlCdCu2Se4
1.0
-0.760 5.707 0.164
-1.501 -0.361 5.549
6.581 -1.991 -1.338
Al Cu Cd Se
1 2 1 4
Direct
0.500 0.500 0.000
0.250 0.750 0.500
0.750 0.250 0.500
0.000 0.000 0.000
0.402 0.866 0.267
0.599 0.599 0.733
0.134 0.134 0.733
0.866 0.402 0.267
```

## Properties
Raw formation energy   -47.7 kJ/mol of atoms
Symmetry   No. 121

---

5.
Below is crystalline AlCdCu3Se4 at its relaxed geometry, with properties calculated at the PBE level.

Cell and atoms, written as POSCAR:
```
AlCdCu3Se4
1.0
-1.593 -0.367 -5.639
-5.624 -0.468 1.619
-0.550 5.840 -0.224
Cu Cd Al Se
3 1 1 4
Direct
0.500 0.000 0.000
0.000 0.000 0.500
0.000 0.500 0.000
0.500 0.500 0.500
0.000 0.000 0.000
0.238 0.762 0.762
0.238 0.238 0.238
0.762 0.762 0.238
0.762 0.238 0.762
```

## Properties
Raw formation energy   -28.8 kJ/mol of atoms
Symmetry   No. 215

---

6.
Below is crystalline Al2CdCuSe4 at its relaxed geometry, with properties calculated at the PBE level.

Cell and atoms, written as POSCAR:
```
Al2CdCuSe4
1.0
-4.214 4.113 0.874
-3.464 -4.586 1.552
5.506 0.800 4.174
Se Al Cd Cu
4 2 1 1
Direct
0.859 0.393 0.252
0.597 0.597 0.726
0.129 0.129 0.726
0.393 0.859 0.252
0.758 0.258 0.516
0.258 0.758 0.516
0.004 0.004 0.009
0.502 0.502 0.004
```

## Properties
Raw formation energy   -50.4 kJ/mol of atoms
Symmetry   No. 42

---

7.
Below is crystalline SmAlCdCu at its relaxed geometry, with properties calculated at the PBE level.

Cell and atoms, written as POSCAR:
```
SmAlCdCu
1.0
4.849 0.000 0.000
2.424 4.199 0.000
2.424 1.400 3.959
Sm Al Cd Cu
1 1 1 1
Direct
0.500 0.500 0.500
0.000 0.000 0.000
0.750 0.750 0.750
0.250 0.250 0.250
```

## Properties
Formation energy   -222 meV/atom
Symmetry   No. 216

---

8.
Below is crystalline Sm2Al4CdCu3 at its relaxed geometry, with properties calculated at the PBE level.

Cell and atoms, written as POSCAR:
```
Sm2Al4CdCu3
1.0
-2.704 -1.294 -3.001
0.185 -3.950 1.536
-8.080 2.102 6.374
Al Cu Cd Sm
4 3 1 2
Direct
0.500 0.000 0.650
0.000 0.000 0.000
0.000 0.500 0.350
0.500 0.500 0.000
0.000 0.000 0.500
0.000 0.500 0.123
0.500 0.000 0.877
0.500 0.500 0.500
0.000 0.500 0.760
0.500 0.000 0.240
```

## Properties
Formation energy   -375 meV/atom
Symmetry   No. 115

---

no.,total magnetization (Bohr magnetons per cell)
1,0.00
2,0.00
3,0.00
4,0.00
5,0.00
6,0.00
7,0.00
8,0.00